Below is Cs2TcBr6 after structural relaxation, with properties calculated at the GGA-PBE level.

a b c (Å): 7.720 7.720 7.720
angles (deg): 60.00 60.00 60.00
Sites, in units of the cell vectors:
Cs 0.250 0.250 0.250
Cs 0.750 0.750 0.750
Tc 0.000 0.000 0.000
Br 0.233 0.233 0.767
Br 0.233 0.767 0.233
Br 0.233 0.767 0.767
Br 0.767 0.233 0.233
Br 0.767 0.233 0.767
Br 0.767 0.767 0.233

Computed properties:
SG ... Fm-3m (225)
Uncorrected energy ... -32.05 eV for the cell shown